Entry 1:
A plane-wave DFT calculation with SCAN was carried out for a PBEsol-optimized structure of PrCd3.

Values from the calculation:
Its total magnetization is 0.00 Bohr magnetons per cell. For the total DFT energy (no corrections), the calculation gives -34.02 eV/atom.

Cell lengths 5.0833, 5.0833, 5.0833 Å; angles 60.00, 60.00, 60.00 degrees
Positions (direct):
Cd 0.2500 0.2500 0.2500
Cd 0.5000 0.5000 0.5000
Cd 0.7500 0.7500 0.7500
Pr 0.0000 0.0000 0.0000

=====

Entry 2:
A plane-wave DFT calculation with SCAN was carried out for a PBEsol-optimized structure of Pr2CdRh2.

Values from the calculation:
Its total magnetization is 0.00 Bohr magnetons per cell. For the total DFT energy (no corrections), the calculation gives -37.56 eV/atom.

Cell lengths 3.9531, 7.4525, 7.4525 Å; angles 90.00, 90.00, 90.00 degrees
Positions (direct):
Rh 0.0000 0.8686 0.6314
Rh 0.0000 0.1314 0.3686
Rh 0.0000 0.3686 0.8686
Rh 0.0000 0.6314 0.1314
Pr 0.5000 0.1709 0.6709
Pr 0.5000 0.3291 0.1709
Pr 0.5000 0.8291 0.3291
Pr 0.5000 0.6709 0.8291
Cd 0.0000 0.5000 0.5000
Cd 0.0000 0.0000 0.0000

=====

Entry 3:
A plane-wave DFT calculation with SCAN was carried out for a PBEsol-optimized structure of Pr2CdS4.

Values from the calculation:
Its total magnetization is 0.00 Bohr magnetons per cell. For the total DFT energy (no corrections), the calculation gives -24.05 eV/atom. The calculation puts the energy relative to the elements, uncorrected at -1.82 eV/atom.

Cell lengths 7.3490, 7.3490, 7.3490 Å; angles 73.31, 69.12, 110.88 degrees
Positions (direct):
Pr 0.3814 0.2564 0.6250
Pr 0.1186 0.1250 0.2564
Pr 0.6186 0.9936 0.1250
Pr 0.8814 0.6250 0.9936
S 0.2632 0.8790 0.0022
S 0.7632 0.2478 0.3710
S 0.2368 0.8658 0.5154
S 0.6188 0.3710 0.8658
S 0.7368 0.7346 0.3842
S 0.8812 0.0022 0.7346
S 0.3812 0.5154 0.2478
S 0.1188 0.3842 0.8790
Cd 0.0000 0.5000 0.5000
Cd 0.5000 0.7500 0.7500

=====

Entry 4:
A plane-wave DFT calculation with SCAN was carried out for a PBEsol-optimized structure of Pr2CdSe4.

Values from the calculation:
Its total magnetization is 0.00 Bohr magnetons per cell. For the total DFT energy (no corrections), the calculation gives -29.85 eV/atom. The calculation puts the energy relative to the elements, uncorrected at -1.65 eV/atom.

Cell lengths 7.6544, 7.6544, 7.6544 Å; angles 106.58, 110.93, 110.93 degrees
Positions (direct):
Se 0.7628 0.6274 0.2467
Se 0.1193 0.1226 0.3854
Se 0.2372 0.4839 0.8646
Se 0.7372 0.6146 0.7339
Se 0.8807 0.2661 0.0033
Se 0.3807 0.7533 0.5161
Se 0.6193 0.1354 0.3726
Se 0.2628 0.9967 0.8774
Pr 0.8784 0.0034 0.6250
Pr 0.3784 0.3750 0.2534
Pr 0.1216 0.7466 0.1250
Pr 0.6216 0.8750 0.9966
Cd 0.0000 0.5000 0.5000
Cd 0.5000 0.2500 0.7500

=====

Entry 5:
A plane-wave DFT calculation with SCAN was carried out for a PBEsol-optimized structure of Pr2CdSn.

Values from the calculation:
Its total magnetization is 0.00 Bohr magnetons per cell. For the total DFT energy (no corrections), the calculation gives -38.89 eV/atom.

Cell lengths 5.3951, 5.3951, 5.3951 Å; angles 60.00, 60.00, 60.00 degrees
Positions (direct):
Cd 0.5000 0.5000 0.5000
Sn 0.0000 0.0000 0.0000
Pr 0.2500 0.2500 0.2500
Pr 0.7500 0.7500 0.7500

=====

Entry 6:
A plane-wave DFT calculation with SCAN was carried out for a PBEsol-optimized structure of Pr2TlCd.

Values from the calculation:
Its total magnetization is 0.91 Bohr magnetons per cell. For the total DFT energy (no corrections), the calculation gives -47.89 eV/atom.

Cell lengths 5.4241, 5.4241, 5.4241 Å; angles 60.00, 60.00, 60.00 degrees
Last column: magnetic moment on the atom in μB.
Positions (direct):
Tl 0.5000 0.5000 0.5000  -0.01
Pr 0.7500 0.7500 0.7500  0.20
Pr 0.2500 0.2500 0.2500  0.20
Cd 0.0000 0.0000 0.0000  0.03

=====

Entry 7:
A plane-wave DFT calculation with SCAN was carried out for a PBEsol-optimized structure of Cd4Pt5.

Values from the calculation:
Its total magnetization is 0.00 Bohr magnetons per cell. For the total DFT energy (no corrections), the calculation gives -52.76 eV/atom.

Cell lengths 4.1055, 6.3740, 6.3740 Å; angles 84.05, 71.21, 71.21 degrees
Positions (direct):
Pt 0.6652 0.0000 0.6696
Pt 0.0000 0.0000 0.0000
Pt 0.3348 0.0000 0.3304
Pt 0.6652 0.6696 0.0000
Pt 0.3348 0.3304 0.0000
Cd 0.0000 0.6801 0.3199
Cd 0.0000 0.3199 0.6801
Cd 0.3199 0.6801 0.6801
Cd 0.6801 0.3199 0.3199

=====

Entry 8:
A plane-wave DFT calculation with SCAN was carried out for a PBEsol-optimized structure of CdPt2.

Values from the calculation:
Its total magnetization is 0.00 Bohr magnetons per cell. For the total DFT energy (no corrections), the calculation gives -57.15 eV/atom.

Cell lengths 5.2731, 5.2731, 5.2731 Å; angles 60.00, 60.00, 60.00 degrees
Positions (direct):
Pt 0.1250 0.6250 0.1250
Pt 0.6250 0.1250 0.1250
Pt 0.1250 0.1250 0.1250
Pt 0.1250 0.1250 0.6250
Cd 0.7500 0.7500 0.7500
Cd 0.5000 0.5000 0.5000

=====

Entry 9:
A plane-wave DFT calculation with SCAN was carried out for a PBEsol-optimized structure of CdPt2.

Values from the calculation:
Its total magnetization is 0.00 Bohr magnetons per cell. For the total DFT energy (no corrections), the calculation gives -57.11 eV/atom.

Cell lengths 2.8211, 5.4574, 6.7623 Å; angles 105.71, 90.00, 104.98 degrees
Positions (direct):
Pt 0.3023 0.6046 0.8592
Pt 0.6424 0.2849 0.5247
Pt 0.3576 0.7151 0.4753
Pt 0.6977 0.3954 0.1408
Cd 0.0270 0.0540 0.7997
Cd 0.9730 0.9460 0.2003

=====

Entry 10:
A plane-wave DFT calculation with SCAN was carried out for a PBEsol-optimized structure of Cd2Pt.

Values from the calculation:
Its total magnetization is 0.00 Bohr magnetons per cell. For the total DFT energy (no corrections), the calculation gives -43.83 eV/atom.

Cell lengths 2.8455, 4.6251, 4.6251 Å; angles 120.00, 90.00, 90.00 degrees
Positions (direct):
Cd 0.0000 0.6667 0.3333
Cd 0.0000 0.3333 0.6667
Pt 0.5000 0.0000 0.0000

=====

Entry 11:
A plane-wave DFT calculation with SCAN was carried out for a PBEsol-optimized structure of Cd2Pt.

Values from the calculation:
Its total magnetization is 0.00 Bohr magnetons per cell. For the total DFT energy (no corrections), the calculation gives -43.94 eV/atom.

Cell lengths 2.9358, 5.4288, 7.3554 Å; angles 108.14, 90.00, 105.69 degrees
Positions (direct):
Cd 0.8597 0.7193 0.4659
Cd 0.8330 0.6661 0.8798
Cd 0.1403 0.2807 0.5341
Cd 0.1670 0.3339 0.1202
Pt 0.5392 0.0784 0.7866
Pt 0.4608 0.9216 0.2134

=====

Entry 12:
A plane-wave DFT calculation with SCAN was carried out for a PBEsol-optimized structure of Cd2Pt.

Values from the calculation:
Its total magnetization is 0.00 Bohr magnetons per cell. For the total DFT energy (no corrections), the calculation gives -43.96 eV/atom.

Cell lengths 4.4766, 4.4766, 4.4766 Å; angles 60.00, 60.00, 60.00 degrees
Positions (direct):
Cd 0.7500 0.7500 0.7500
Cd 0.2500 0.2500 0.2500
Pt 0.0000 0.0000 0.0000